(1)
Density functional theory data (PBE-GGA) for an optimized crystal structure of Sr4MoRu.

Calculated formation energy = 1.58 eV per atom
Calculated density = 4551 kg/m³

Cell: 6.5615 6.5615 6.5615 Å, 60.00 60.00 60.00°
Last column: nearest neighbours and their distance in Å.
Fractional positions:
Sr: 0.3756 0.3756 0.3756  6 Sr 3.27-3.30
Sr: 0.3756 0.3756 0.8733  6 Sr 3.27-3.30
Sr: 0.3756 0.8733 0.3756  6 Sr 3.27-3.30
Sr: 0.8733 0.3756 0.3756  6 Sr 3.27-3.30
Mo: 0.0000 0.0000 0.0000  12 Sr 3.85, 4 Ru 4.02
Ru: 0.7500 0.7500 0.7500  12 Sr 3.85, 4 Mo 4.02

(2)
Density functional theory data (PBE-GGA) for an optimized crystal structure of Pm6Cu2Au.

Calculated formation energy = -0.24 eV per atom
Calculated density = 8030 kg/m³

Cell: 8.6269 8.6269 8.6269 Å, 110.99 109.72 107.72°
Last column: nearest neighbours and their distance in Å.
Fractional positions:
Pm: 0.0628 0.2497 0.8130  2 Cu 3.04-3.38, 2 Au 3.15
Pm: 0.1764 0.2723 0.4487  3 Cu 3.08-3.20, 1 Au 3.19
Pm: 0.1764 0.7277 0.9041  3 Cu 3.08-3.20, 1 Au 3.19
Pm: 0.3255 0.0213 0.6958  3 Cu 2.84-2.98
Pm: 0.3255 0.6297 0.3042  3 Cu 2.84-2.98
Pm: 0.4367 0.2497 0.1870  2 Cu 3.04-3.38, 2 Au 3.15
Pm: 0.5633 0.7503 0.8130  2 Cu 3.04-3.38, 2 Au 3.15
Pm: 0.6745 0.3703 0.6958  3 Cu 2.84-2.98
Pm: 0.6745 0.9787 0.3042  3 Cu 2.84-2.98
Pm: 0.8236 0.2723 0.0959  3 Cu 3.08-3.20, 1 Au 3.19
Pm: 0.8236 0.7277 0.5513  3 Cu 3.08-3.20, 1 Au 3.19
Pm: 0.9372 0.7503 0.1870  2 Cu 3.04-3.38, 2 Au 3.15
Cu: 0.1192 0.6192 0.5000  1 Cu 2.42
Cu: 0.3555 0.0000 0.3555  1 Cu 2.87, 8 Pm 2.98-3.20
Cu: 0.6445 0.0000 0.6445  1 Cu 2.87, 8 Pm 2.98-3.20
Cu: 0.8808 0.3808 0.5000  1 Cu 2.42
Au: 0.0000 0.0000 0.0000  8 Pm 3.15-3.19
Au: 0.5000 0.5000 0.0000  8 Pm 3.15-3.46